Record 1
Density functional theory data (SCAN) for a crystal of NaNbSb2Te relaxed with PBEsol.

Properties
**N(E_F)**: 4.155 states/eV per cell
**VASP energy**: -28.68 eV/atom
**Crystal system**: tetragonal
**SG**: P4/mmm, No. 123
**Calculated density**: 5.78 Mg/m³
**Raw formation energy**: 110.6 kJ per mole of atoms

a b c (Å): 5.1520 5.1520 5.2681
angles (deg): 90.00 90.00 90.00
Positions (direct):
Na 0.0000 0.0000 0.0000
Nb 0.5000 0.5000 0.5000
Sb 0.0000 0.5000 0.0000
Sb 0.5000 0.0000 0.0000
Te 0.0000 0.0000 0.5000

Record 2
Density functional theory data (SCAN) for a crystal of NaSc3Nb relaxed with PBEsol.

Properties
**N(E_F)**: 4.583 states/eV per cell
**VASP energy**: -14.69 eV/atom
**Crystal system**: cubic
**SG**: Pm-3m, No. 221
**Calculated density**: 3.57 Mg/m³
**Formation energy from the elements**: 1.317 eV per atom

a b c (Å): 4.8878 4.8878 4.8878
angles (deg): 90.00 90.00 90.00
Positions (direct):
Na 0.0000 0.0000 0.0000
Sc 0.0000 0.0000 0.5000
Sc 0.0000 0.5000 0.0000
Sc 0.5000 0.0000 0.0000
Nb 0.5000 0.5000 0.5000

Record 3
Density functional theory data (SCAN) for a crystal of Na2ScNbSn relaxed with PBEsol.

Properties
**N(E_F)**: 4.740 states/eV per cell
**VASP energy**: -17.34 eV/atom
**Crystal system**: tetragonal
**SG**: P4/mmm, No. 123
**Calculated density**: 3.34 Mg/m³
**Formation energy from the elements**: 1.001 eV per atom

a b c (Å): 5.3083 5.3083 5.3445
angles (deg): 90.00 90.00 90.00
Positions (direct):
Na 0.0000 0.5000 0.0000
Na 0.5000 0.0000 0.0000
Sc 0.0000 0.0000 0.5000
Nb 0.5000 0.5000 0.0000
Sn 0.5000 0.5000 0.5000

Record 4
Density functional theory data (SCAN) for a crystal of NaNb6Se8 relaxed with PBEsol.

Properties
**N(E_F)**: 2.794 states/eV per cell
**VASP energy**: -25.22 eV/atom
**Crystal system**: trigonal
**SG**: P-3, No. 147
**Calculated density**: 6.74 Mg/m³
**Raw formation energy**: -94.5 kJ per mole of atoms

a b c (Å): 9.9448 9.9448 3.4866
angles (deg): 90.00 90.00 120.00
Positions (direct):
Na 0.0000 0.0000 0.0000
Nb 0.1080 0.6196 0.2492
Nb 0.3804 0.4883 0.2492
Nb 0.4883 0.1080 0.7508
Nb 0.5117 0.8920 0.2492
Nb 0.6196 0.5117 0.7508
Nb 0.8920 0.3804 0.7508
Se 0.0585 0.3359 0.2517
Se 0.2773 0.9415 0.2517
Se 0.3333 0.6667 0.7494
Se 0.3359 0.2773 0.7483
Se 0.6641 0.7227 0.2517
Se 0.6667 0.3333 0.2506
Se 0.7227 0.0585 0.7483
Se 0.9415 0.6641 0.7483

Record 5
Density functional theory data (SCAN) for a crystal of NaNb6Te8 relaxed with PBEsol.

Properties
**N(E_F)**: 4.835 states/eV per cell
**VASP energy**: -33.94 eV/atom
**Crystal system**: trigonal
**SG**: P-3, No. 147
**Calculated density**: 7.50 Mg/m³
**Raw formation energy**: -52.4 kJ per mole of atoms

a b c (Å): 10.6084 10.6084 3.6389
angles (deg): 90.00 90.00 120.00
Positions (direct):
Na 0.0000 0.0000 0.0000
Nb 0.1020 0.4893 0.2490
Nb 0.3872 0.8980 0.2490
Nb 0.4893 0.3872 0.7510
Nb 0.5107 0.6128 0.2490
Nb 0.6128 0.1020 0.7510
Nb 0.8980 0.5107 0.7510
Te 0.0644 0.7312 0.2523
Te 0.2688 0.3332 0.2523
Te 0.3332 0.0644 0.7477
Te 0.3333 0.6667 0.7494
Te 0.6667 0.3333 0.2506
Te 0.6668 0.9356 0.2523
Te 0.7312 0.6668 0.7477
Te 0.9356 0.2688 0.7477

Record 6
Density functional theory data (SCAN) for a crystal of Na2YNb relaxed with PBEsol.

Properties
**N(E_F)**: 7.666 states/eV per cell
**VASP energy**: -16.32 eV/atom
**Crystal system**: tetragonal
**SG**: I-42d, No. 122
**Calculated density**: 3.75 Mg/m³
**Formation energy from the elements**: 1.030 eV per atom

a b c (Å): 6.6428 6.6428 6.6428
angles (deg): 100.01 100.01 130.71
Positions (direct):
Na 0.1116 0.1250 0.4866
Na 0.3750 0.8884 0.0134
Na 0.6384 0.6250 0.5134
Na 0.8750 0.3616 0.9866
Y 0.2500 0.7500 0.5000
Y 0.5000 0.5000 0.0000
Nb 0.0000 0.0000 0.0000
Nb 0.7500 0.2500 0.5000

Record 7
Density functional theory data (SCAN) for a crystal of NaNb3Zn relaxed with PBEsol.

Properties
**N(E_F)**: 9.107 states/eV per cell
**VASP energy**: -22.02 eV/atom
**Crystal system**: cubic
**SG**: Pm-3m, No. 221
**Calculated density**: 5.58 Mg/m³
**Formation energy from the elements**: 1.403 eV per atom

a b c (Å): 4.7819 4.7819 4.7819
angles (deg): 90.00 90.00 90.00
Positions (direct):
Na 0.0000 0.0000 0.0000
Nb 0.0000 0.5000 0.5000
Nb 0.5000 0.0000 0.5000
Nb 0.5000 0.5000 0.0000
Zn 0.5000 0.5000 0.5000

Record 8
Density functional theory data (SCAN) for a crystal of NaNd3PtO7 relaxed with PBEsol.

Properties
**N(E_F)**: 0.000 states/eV per cell
**VASP energy**: -23.48 eV/atom
**Crystal system**: monoclinic
**SG**: Cc, No. 9
**Calculated density**: 7.83 Mg/m³
**Raw formation energy**: -265.2 kJ per mole of atoms

a b c (Å): 5.6475 5.6475 11.9544
angles (deg): 103.13 103.13 61.69
Positions (direct):
Na 0.2207 0.7793 0.5000
Na 0.7793 0.2207 0.0000
Nd 0.0886 0.5804 0.9842
Nd 0.3268 0.8368 0.8026
Nd 0.4482 0.9586 0.1723
Nd 0.5804 0.0886 0.4842
Nd 0.8368 0.3268 0.3026
Nd 0.9586 0.4482 0.6723
Pt 0.1447 0.6509 0.2449
Pt 0.6509 0.1447 0.7449
O 0.0303 0.3789 0.1432
O 0.2744 0.8789 0.9886
O 0.2798 0.9282 0.3359
O 0.3541 0.4070 0.8375
O 0.3789 0.0303 0.6432
O 0.4070 0.3541 0.3375
O 0.4489 0.5124 0.1485
O 0.5124 0.4489 0.6485
O 0.7617 0.8436 0.8409
O 0.8436 0.7617 0.3409
O 0.8665 0.9396 0.1442
O 0.8789 0.2744 0.4886
O 0.9282 0.2798 0.8359
O 0.9396 0.8665 0.6442

Record 9
Density functional theory data (SCAN) for a crystal of NaNd9Si6O26 relaxed with PBEsol.

Properties
**N(E_F)**: 0.000 states/eV per cell
**VASP energy**: -18.26 eV/atom
**Crystal system**: trigonal
**SG**: P3, No. 143
**Calculated density**: 5.76 Mg/m³
**Raw formation energy**: -340.3 kJ per mole of atoms

a b c (Å): 9.4938 9.4938 7.0411
angles (deg): 90.00 90.00 120.00
Positions (direct):
Na 0.0000 0.0000 0.0000
Nd 0.0000 0.0000 0.5027
Nd 0.0900 0.6540 0.2575
Nd 0.1004 0.4197 0.7614
Nd 0.3193 0.8996 0.7614
Nd 0.3460 0.4360 0.2575
Nd 0.5640 0.9100 0.2575
Nd 0.5803 0.6807 0.7614
Nd 0.6667 0.3333 0.0106
Nd 0.6667 0.3333 0.5117
Si 0.3007 0.0371 0.2585
Si 0.3631 0.2966 0.7579
Si 0.7034 0.0665 0.7579
Si 0.7364 0.6993 0.2585
Si 0.9335 0.6369 0.7579
Si 0.9629 0.2636 0.2585
O 0.0211 0.8323 0.7519
O 0.0776 0.3125 0.4499
O 0.0930 0.3529 0.0854
O 0.1677 0.1888 0.7519
O 0.2083 0.1419 0.2537
O 0.2349 0.9224 0.4499
O 0.2600 0.9070 0.0854
O 0.3333 0.6667 0.2919
O 0.3333 0.6667 0.7665
O 0.4314 0.4159 0.9448
O 0.4367 0.4174 0.5713
O 0.4610 0.1943 0.7621
O 0.4997 0.1573 0.2616
O 0.5826 0.0193 0.5713
O 0.5841 0.0155 0.9448
O 0.6471 0.7400 0.0854
O 0.6575 0.5003 0.2616
O 0.6875 0.7651 0.4499
O 0.7332 0.5390 0.7621
O 0.8057 0.2668 0.7621
O 0.8112 0.9789 0.7519
O 0.8427 0.3425 0.2616
O 0.8581 0.0665 0.2537
O 0.9335 0.7917 0.2537
O 0.9807 0.5633 0.5713
O 0.9845 0.5686 0.9448

Record 10
Density functional theory data (SCAN) for a crystal of NaNdSi6O14 relaxed with PBEsol.

Properties
**N(E_F)**: 0.000 states/eV per cell
**VASP energy**: -11.97 eV/atom
**Crystal system**: orthorhombic
**SG**: Ibam, No. 72
**Calculated density**: 3.18 Mg/m³
**Raw formation energy**: -299.4 kJ per mole of atoms

a b c (Å): 13.0930 13.0930 13.0930
angles (deg): 145.89 107.66 82.45
Positions (direct):
Na 0.0000 0.0000 0.0000
Na 0.2500 0.7500 0.5000
Na 0.5000 0.5000 0.0000
Na 0.7500 0.2500 0.5000
Nd 0.0199 0.7500 0.2699
Nd 0.4801 0.7500 0.7301
Nd 0.5199 0.2500 0.2699
Nd 0.9801 0.2500 0.7301
Si 0.0288 0.9972 0.7289
Si 0.0690 0.3870 0.1605
Si 0.1331 0.6797 0.8129
Si 0.1652 0.2676 0.4328
Si 0.2265 0.9085 0.8395
Si 0.2318 0.5028 0.0317
Si 0.2682 0.2999 0.2711
Si 0.2735 0.1130 0.6820
Si 0.3348 0.7676 0.1024
Si 0.3669 0.1797 0.5466
Si 0.4310 0.5915 0.3180
Si 0.4712 0.2001 0.9683
Si 0.5288 0.7999 0.0317
Si 0.5690 0.4085 0.6820
Si 0.6331 0.8203 0.4534
Si 0.6652 0.2324 0.8976
Si 0.7265 0.8870 0.3180
Si 0.7318 0.7001 0.7289
Si 0.7682 0.4972 0.9683
Si 0.7735 0.0915 0.1605
Si 0.8348 0.7324 0.5672
Si 0.8669 0.3203 0.1871
Si 0.9310 0.6130 0.8395
Si 0.9712 0.0028 0.2711
O 0.0084 0.0509 0.4372
O 0.0150 0.6937 0.8361
O 0.0371 0.2260 0.9270
O 0.0593 0.1010 0.2900
O 0.0646 0.5901 0.2913
O 0.1136 0.5509 0.0425
O 0.1354 0.4695 0.6049
O 0.1424 0.8211 0.8361
O 0.1470 0.9572 0.7646
O 0.1890 0.2307 0.2900
O 0.1925 0.3824 0.2354
O 0.2010 0.2740 0.8111
O 0.2012 0.9099 0.4746
O 0.2304 0.7584 0.9888
O 0.2696 0.2584 0.5279
O 0.2990 0.1101 0.0730
O 0.2988 0.7734 0.7087
O 0.3075 0.5428 0.1899
O 0.3110 0.6010 0.0417
O 0.3530 0.1176 0.8101
O 0.3576 0.1937 0.6787
O 0.3646 0.9695 0.3342
O 0.3864 0.4288 0.4372
O 0.4354 0.7266 0.5254
O 0.4407 0.7307 0.0417
O 0.4629 0.3899 0.1889
O 0.4850 0.3211 0.6787
O 0.4916 0.9288 0.0425
O 0.5084 0.0712 0.9575
O 0.5150 0.6789 0.3213
O 0.5371 0.6101 0.8111
O 0.5593 0.2693 0.9583
O 0.5646 0.2734 0.4746
O 0.6136 0.5712 0.5628
O 0.6354 0.0305 0.6658
O 0.6424 0.8063 0.3213
O 0.6470 0.8824 0.1899
O 0.6890 0.3990 0.9583
O 0.6925 0.4572 0.8101
O 0.7012 0.2266 0.2913
O 0.7010 0.8899 0.9270
O 0.7304 0.7416 0.4721
O 0.7696 0.2416 0.0112
O 0.7988 0.0901 0.5254
O 0.7990 0.7260 0.1889
O 0.8075 0.6176 0.7646
O 0.8110 0.7693 0.7100
O 0.8530 0.0428 0.2354
O 0.8576 0.1789 0.1639
O 0.8646 0.5305 0.3951
O 0.8864 0.4491 0.9575
O 0.9354 0.4099 0.7087
O 0.9407 0.8990 0.7100
O 0.9629 0.7740 0.0730
O 0.9850 0.3063 0.1639
O 0.9916 0.9491 0.5628

Record 11
Density functional theory data (SCAN) for a crystal of NaNdTiO4 relaxed with PBEsol.

Properties
**N(E_F)**: 0.000 states/eV per cell
**VASP energy**: -15.92 eV/atom
**Crystal system**: tetragonal
**SG**: P4/nmm, No. 129
**Calculated density**: 5.18 Mg/m³
**Raw formation energy**: -312.8 kJ per mole of atoms

a b c (Å): 3.7134 3.7134 12.9660
angles (deg): 90.00 90.00 90.00
Positions (direct):
Na 0.2500 0.2500 0.0829
Na 0.7500 0.7500 0.9171
Nd 0.2500 0.2500 0.3921
Nd 0.7500 0.7500 0.6079
Ti 0.2500 0.2500 0.7705
Ti 0.7500 0.7500 0.2295
O 0.2500 0.2500 0.5702
O 0.2500 0.2500 0.9060
O 0.2500 0.7500 0.2672
O 0.2500 0.7500 0.7328
O 0.7500 0.2500 0.2672
O 0.7500 0.2500 0.7328
O 0.7500 0.7500 0.0940
O 0.7500 0.7500 0.4298

Record 12
Density functional theory data (SCAN) for a crystal of NaNdW2O8 relaxed with PBEsol.

Properties
**N(E_F)**: 0.000 states/eV per cell
**VASP energy**: -22.46 eV/atom
**Crystal system**: tetragonal
**SG**: I-4, No. 82
**Calculated density**: 6.94 Mg/m³
**Raw formation energy**: -261.0 kJ per mole of atoms

a b c (Å): 6.7984 6.7984 6.7984
angles (deg): 134.25 134.25 66.70
Positions (direct):
Na 0.0000 0.0000 0.0000
Nd 0.7500 0.2500 0.5000
W 0.2500 0.7500 0.5000
W 0.5000 0.5000 0.0000
O 0.0055 0.4258 0.1008
O 0.0953 0.9945 0.4203
O 0.1727 0.5608 0.9119
O 0.3250 0.9047 0.8992
O 0.4392 0.3511 0.6119
O 0.5742 0.6750 0.5797
O 0.6489 0.2607 0.0881
O 0.7393 0.8273 0.3881

Number 1: total magnetic moment 3.05 μB per formula unit. Number 2: total magnetic moment 0.79 μB per formula unit. Number 3: total magnetic moment 2.24 μB per formula unit. Number 4: total magnetic moment 0.00 μB per formula unit. Number 5: total magnetic moment 0.00 μB per formula unit. Number 6: total magnetic moment 1.36 μB per formula unit. Number 7: total magnetic moment 0.00 μB per formula unit. Number 8: total magnetic moment 0.00 μB per formula unit. Number 9: total magnetic moment 0.00 μB per formula unit. Number 10: total magnetic moment 0.00 μB per formula unit. Number 11: total magnetic moment 0.00 μB per formula unit. Number 12: total magnetic moment 0.00 μB per formula unit.